Record 1
VASP calculation (PBE-GGA) on crystalline Tb8Er2In at its relaxed geometry.

Cell: 8.998 8.998 8.308 Å, 114.90 114.90 34.57°
Positions (direct):
Tb1 0.019 0.019 0.227
Tb2 0.159 0.159 0.702
Tb3 0.331 0.331 0.596
Tb4 0.392 0.392 0.067
Tb5 0.608 0.608 0.933
Tb6 0.669 0.669 0.404
Tb7 0.841 0.841 0.298
Tb8 0.981 0.981 0.773
Er1 0.200 0.200 0.150
Er2 0.800 0.800 0.850
In1 0.500 0.500 0.500

## Properties
Calculated formation energy: -0.006 eV/atom



Record 2
VASP calculation (PBE-GGA) on crystalline AcSm2S at its relaxed geometry.

Cell: 10.817 10.817 10.817 Å, 20.44 20.44 20.44°
Positions (direct):
Ac1 0.000 0.000 0.000
Sm1 0.115 0.115 0.115
Sm2 0.885 0.885 0.885
S1 0.500 0.500 0.500

## Properties
Formation energy without anion corrections: -0.791 eV per atom



Record 3
VASP calculation (PBE-GGA) on crystalline CrIr2Pt at its relaxed geometry.

Cell: 9.013 9.013 9.013 Å, 17.36 17.36 17.36°
Positions (direct):
Cr1 0.000 0.000 0.000
Ir1 0.257 0.257 0.257
Ir2 0.743 0.743 0.743
Pt1 0.500 0.500 0.500

## Properties
Calculated formation energy: -0.106 eV/atom



Record 4
VASP calculation (PBE-GGA) on crystalline Rb5Cd2Hg5 at its relaxed geometry.

Cell: 9.702 9.702 14.202 Å, 126.47 126.47 29.26°
Positions (direct):
Rb1 0.000 0.000 0.000
Rb2 0.309 0.309 0.414
Rb3 0.373 0.373 0.175
Rb4 0.627 0.627 0.825
Rb5 0.691 0.691 0.586
Cd1 0.391 0.391 0.741
Cd2 0.609 0.609 0.259
Hg1 0.000 0.000 0.500
Hg2 0.064 0.064 0.338
Hg3 0.298 0.298 0.856
Hg4 0.702 0.702 0.144
Hg5 0.936 0.936 0.662

## Properties
Calculated formation energy: -0.168 eV/atom



Record 5
VASP calculation (PBE-GGA) on crystalline NdMgAu4 at its relaxed geometry.

Cell: 3.689 3.689 9.165 Å, 90.00 90.00 90.00°
Positions (direct):
Nd1 0.000 0.000 0.000
Mg1 0.500 0.500 0.500
Au1 0.000 0.000 0.347
Au2 0.000 0.000 0.653
Au3 0.500 0.500 0.186
Au4 0.500 0.500 0.814

## Properties
Calculated formation energy: -0.575 eV/atom
Polymorph energy (0 for the lowest one): 0.00 eV per formula unit



| no. | electronic total energy (eV/atom) |
| --- | --- |
| 1 | -4.4520 |
| 2 | -5.2093 |
| 3 | -8.4521 |
| 4 | -0.8497 |
| 5 | -3.8206 |